# 1
Here is SrLa2Br at its PBEsol-relaxed geometry from Alexandria via LeMat-Bulk. Energies are from SCAN.

Cell: 7.494 7.494 3.610 Å, 103.87 103.87 127.09°
Element x y z (fractional)
Sr1 0.000 0.000 0.000
La1 0.000 0.500 0.000
La2 0.500 0.000 0.000
Br1 0.500 0.500 0.000

Summary:
* V: 136 Å³ per cell
* D(E_F): 0.930 states/eV/atom
* space-group type: C2/m, No. 12
* distance to the lowest polymorph of the same formula: 0.00 kJ/mol of atoms

# 2
Here is SrLaBr2 at its PBEsol-relaxed geometry from Alexandria via LeMat-Bulk. Energies are from SCAN.

Cell: 7.747 7.747 7.747 Å, 148.04 148.04 45.83°
Element x y z (fractional)
Sr1 0.000 0.000 0.000
La1 0.250 0.750 0.500
Br1 0.500 0.500 0.000
Br2 0.750 0.250 0.500

Summary:
* V: 130 Å³ per cell
* D(E_F): 0.877 states/eV/atom
* space-group type: I-4m2, No. 119
* distance to the lowest polymorph of the same formula: 15.59 kJ/mol of atoms

- What is the D(E_F) in the second record?
  0.877 states/eV/atom